## MnGePHCN (PBE)

Data for a relaxed MnGePHCN crystal.

Calculated values
* space-group type: Cm
* energy relative to the lowest polymorph listed for this composition: 153 meV per atom
* VASP energy: -77.37 eV per cell
* volume: 11.468 Å³/atom

```
data_MnGePHCN
_symmetry_space_group_name_H-M 'P 1'
_symmetry_Int_Tables_number 1
_cell_length_a 5.487
_cell_length_b 3.087
_cell_length_c 9.484
_cell_angle_alpha 90.00
_cell_angle_beta 121.07
_cell_angle_gamma 90.00
loop_
_symmetry_equiv_pos_as_xyz
'x,y,z'
loop_
_atom_site_label
_atom_site_type_symbol
_atom_site_fract_x
_atom_site_fract_y
_atom_site_fract_z
Mn1 Mn 0.621 0.000 0.521
Mn2 Mn 0.621 0.500 0.021
Ge1 Ge 0.787 0.000 0.329
Ge2 Ge 0.787 0.500 0.829
P1 P 0.323 0.000 0.881
P2 P 0.323 0.500 0.381
H1 H 0.264 0.000 0.109
H2 H 0.264 0.500 0.609
C1 C 0.458 0.000 0.101
C2 C 0.458 0.500 0.601
N1 N 0.966 0.000 0.776
N2 N 0.966 0.500 0.276
```